A geometry-optimized DyEr7Tm4 structure, computed with PBE.

Structure (CIF):
```
data_DyEr7Tm4
_cell_length_a 3.4973
_cell_length_b 3.4973
_cell_length_c 34.1886
_cell_angle_alpha 90.00
_cell_angle_beta 90.00
_cell_angle_gamma 120.00
_symmetry_space_group_name_H-M 'P -3 m 1'
_symmetry_Int_Tables_number 164
_symmetry_space_group_name_Hall '-P 3 2"'
loop_
_atom_site_label
_atom_site_type_symbol
_atom_site_fract_x
_atom_site_fract_y
_atom_site_fract_z
Dy1 Dy 0.0000 0.0000 0.0000
Er1 Er 0.0000 0.0000 0.2505
Er2 Er 0.0000 0.0000 0.5000
Er3 Er 0.3333 0.6667 0.6660
Er4 Er 0.3333 0.6667 0.9158
Tm1 Tm 0.3333 0.6667 0.1673
Tm2 Tm 0.3333 0.6667 0.4170
```

Output
Formation energy = 26 meV per atom
Polymorph energy (0 for the lowest one) = 0 meV per atom


A geometry-optimized Dy2Er6Tm3 structure, computed with PBE.

Structure (CIF):
```
data_Dy2Er6Tm3
_cell_length_a 5.5674
_cell_length_b 5.5674
_cell_length_c 37.9561
_cell_angle_alpha 90.00
_cell_angle_beta 90.00
_cell_angle_gamma 120.00
_symmetry_space_group_name_H-M 'R -3 m'
_symmetry_Int_Tables_number 166
_symmetry_space_group_name_Hall '-R 3 2"'
loop_
_atom_site_label
_atom_site_type_symbol
_atom_site_fract_x
_atom_site_fract_y
_atom_site_fract_z
Dy1 Dy 0.0000 0.0000 0.0456
Er1 Er 0.0000 0.0000 0.1388
Er2 Er 0.0000 0.0000 0.3286
Er3 Er 0.0000 0.0000 0.4175
Tm1 Tm 0.0000 0.0000 0.2342
Tm2 Tm 0.0000 0.0000 0.5000
```

Output
Formation energy = 125 meV per atom
Polymorph energy (0 for the lowest one) = 0 meV per atom


A geometry-optimized DyEr5Tm7 structure, computed with PBE.

Structure (CIF):
```
data_DyEr5Tm7
_cell_length_a 6.605
_cell_length_b 10.946
_cell_length_c 11.349
_cell_angle_alpha 90.00
_cell_angle_beta 90.00
_cell_angle_gamma 90.00
_symmetry_space_group_name_H-M 'I m m 2'
_symmetry_Int_Tables_number 44
loop_
_symmetry_equiv_pos_as_xyz
'x,y,z'
'-x,-y,z'
'-x,y,z'
'x,-y,z'
'x+1/2,y+1/2,z+1/2'
'-x+1/2,-y+1/2,z+1/2'
'-x+1/2,y+1/2,z+1/2'
'x+1/2,-y+1/2,z+1/2'
loop_
_atom_site_label
_atom_site_type_symbol
_atom_site_fract_x
_atom_site_fract_y
_atom_site_fract_z
Dy1 Dy 0.000 0.000 0.000
Er1 Er 0.000 0.500 0.806
Er2 Er 0.232 0.227 0.805
Tm1 Tm 0.000 0.000 0.307
Tm2 Tm 0.000 0.000 0.614
Tm3 Tm 0.000 0.329 0.555
Tm4 Tm 0.000 0.330 0.056
Tm5 Tm 0.000 0.500 0.306
```

Output
Formation energy = 265 meV per atom


no.,density (g cm⁻³)
1,9.21
2,8.97
3,8.83